This record from Alexandria via LeMat-Bulk describes a relaxed structure of TcSe5. The functional is PBE-GGA.

Unit cell a=3.549 b=5.113 c=17.730 alpha=90.00 beta=90.00 gamma=90.00
Space group Amm2 (No. 38)
Symmetry-distinct sites (fractional):
Tc (0.000, 0.000, 0.000) x2
Se (0.000, 0.000, 0.529) x2
Se (0.000, 0.000, 0.756) x2
Se (0.500, 0.000, 0.102) x2
Se (0.500, 0.000, 0.656) x2
Se (0.500, 0.000, 0.904) x2

Output
Total DFT energy (no corrections), hartree per atom: -0.167
Polymorph energy (0 for the lowest one), meV/atom: 15
Total magnetization, μB/cell: 1.56